Here is crystalline LiYW2O8 at its relaxed geometry from Alexandria. Energies are from PBE with a Hubbard U.

## Properties
VASP energy (eV/atom): -7.6175
N(E_F) (states/eV/cell): 0.000

a = 6.0132 Å, b = 5.0866 Å, c = 11.0711 Å
α = 65.16°, β = 90.00°, γ = 90.00°
Fractional positions:
1 O 0.8905 0.3412 0.5980
2 O 0.3597 0.7328 0.8663
3 O 0.0912 0.1609 0.8915
4 O 0.6356 0.2221 0.8875
5 O 0.3644 0.7779 0.1125
6 O 0.1095 0.3412 0.0980
7 O 0.6403 0.7328 0.3663
8 O 0.6356 0.7779 0.6125
9 O 0.1095 0.6588 0.4020
10 O 0.0912 0.8391 0.6085
11 O 0.9088 0.8391 0.1085
12 O 0.9088 0.1609 0.3915
13 O 0.6403 0.2672 0.1337
14 O 0.3597 0.2672 0.6337
15 O 0.8905 0.6588 0.9020
16 O 0.3644 0.2221 0.3875
17 W 0.8305 0.2367 0.0112
18 W 0.1695 0.7633 0.9888
19 W 0.1695 0.2367 0.5112
20 W 0.8305 0.7633 0.4888
21 Y 0.6659 0.0000 0.7500
22 Y 0.3341 0.0000 0.2500
23 Li 0.2579 0.5000 0.7500
24 Li 0.7421 0.5000 0.2500